First-principles (PBE) data for Sn2OF2 after structural relaxation, as listed in the Alexandria database.

## Properties
ΔE to the lowest computed polymorph (kJ per mole of atoms): 4.9
Magnetization (μB/f.u.): 0.00
Formation energy (no corrections) (meV/atom): -1848
VASP energy (eV per atom): -5.190

Lattice parameters (Å, degrees): 4.575 6.294 7.873 73.74 73.11 68.69
Fractional positions:
Sn (0.192, 0.244, 0.373)
Sn (0.808, 0.756, 0.627)
Sn (0.422, 0.279, 0.877)
Sn (0.578, 0.721, 0.123)
O (0.380, 0.091, 0.148)
O (0.620, 0.909, 0.852)
F (0.723, 0.111, 0.443)
F (0.277, 0.889, 0.557)
F (0.144, 0.640, 0.072)
F (0.856, 0.360, 0.928)